# 1
! TiSN2F PBE optimized geometry; values from VASP
! total DFT energy (no corrections) = -5.48 eV per atom
! volume = 10.671 A^3/atom
! relative energy among the computed polymorphs = 600 meV/atom
! raw formation energy = 14.6 kcal/mol of atoms
! M_tot = 1.228 μB per formula unit
&SYSTEM
  ibrav = 0, nat = 5, ntyp = 4
/
ATOMIC_SPECIES
S 32.06 S.upf
N 14.01 N.upf
F 19.00 F.upf
Ti 47.87 Ti.upf
ATOMIC_POSITIONS angstrom
S 0.0000 0.0000 0.0000
N 0.8223 0.4830 -1.5458
N -0.2622 -1.6711 -0.6617
F 1.7787 -0.5817 0.7644
Ti 2.3388 -1.7698 -1.4431
CELL_PARAMETERS angstrom
-0.5244 -3.3422 -1.3233
1.6446 0.9661 -3.0917
3.5574 -1.1635 1.5288

# 2
! Pm3HoMg6 PBE optimized geometry; values from VASP
! total DFT energy (no corrections) = -2.92 eV per atom
! volume = 27.342 A^3/atom
! M_tot = 0.001 μB per formula unit
! ΔH_f (0 K) = -75 meV per atom
&SYSTEM
  ibrav = 0, nat = 20, ntyp = 3
/
ATOMIC_SPECIES
Mg 24.30 Mg.upf
Pm 145.00 Pm.upf
Ho 164.93 Ho.upf
ATOMIC_POSITIONS angstrom
Mg 1.3282 7.8520 1.1312
Mg 1.3282 0.6449 10.0647
Mg 3.9846 7.0047 3.7837
Mg 3.9846 3.0636 2.4288
Mg 1.3282 3.9812 -0.0743
Mg 3.9846 1.4117 7.5298
Mg 1.3282 6.2001 6.2322
Mg 1.3282 1.3575 1.7892
Mg 3.9846 5.2825 8.7353
Mg 1.3282 2.2589 4.8774
Mg 3.9846 7.9062 6.8719
Mg 3.9846 8.6188 -1.4036
Pm 3.9846 2.4784 10.6285
Pm 1.3282 3.3611 8.0354
Pm 3.9846 4.3109 5.6212
Pm 1.3282 6.7853 -1.9675
Pm 3.9846 5.9025 0.6257
Pm 1.3282 4.9527 3.0399
Ho 1.3282 8.7173 4.2550
Ho 3.9846 0.5464 4.4061
CELL_PARAMETERS angstrom
5.3128 0.0000 0.0000
0.0000 9.0004 -2.6961
0.0000 0.2632 11.3572

# 3
! Ce2Cu12Si7 PBE optimized geometry; values from VASP
! total DFT energy (no corrections) = -4.95 eV per atom
! volume = 14.624 A^3/atom
! raw formation energy = -5.6 kcal/mol of atoms
! M_tot = 0.877 μB per formula unit
&SYSTEM
  ibrav = 0, nat = 21, ntyp = 3
/
ATOMIC_SPECIES
Cu 63.55 Cu.upf
Si 28.09 Si.upf
Ce 140.12 Ce.upf
ATOMIC_POSITIONS angstrom
Cu 2.9907 7.2196 2.8252
Cu 2.9907 7.0640 -2.9150
Cu 0.9386 6.0565 4.6601
Cu 0.9386 1.0075 1.9247
Cu 0.9726 3.5320 1.5592
Cu 0.9386 1.1631 7.6650
Cu 2.9567 0.4157 3.8384
Cu 0.9726 7.8114 0.9115
Cu 2.9907 2.1706 0.0898
Cu 2.9567 4.6951 3.1908
Cu 2.9567 3.1163 7.2207
Cu 0.9726 5.1108 -2.4707
Si 0.9958 3.3515 -0.8638
Si 0.9958 5.8033 2.2794
Si 2.9334 0.9276 6.1655
Si 2.9334 4.8757 5.6138
Si 0.9958 7.2995 -1.4156
Si 1.9646 0.0000 0.0000
Si 2.9334 2.4238 2.4705
Ce 0.9840 2.7424 4.7500
Ce 2.9453 5.4848 0.0000
CELL_PARAMETERS angstrom
3.9293 0.0000 0.0000
0.0000 8.2272 -4.7499
0.0000 0.0000 9.4999

# 4
! Na12Tl5Cd2 PBE optimized geometry; values from VASP
! total DFT energy (no corrections) = -1.63 eV per atom
! volume = 29.735 A^3/atom
! relative energy among the computed polymorphs = 0 meV/atom
! M_tot = 0.000 μB per formula unit
! ΔH_f (0 K) = -79 meV per atom
&SYSTEM
  ibrav = 0, nat = 19, ntyp = 3
/
ATOMIC_SPECIES
Na 22.99 Na.upf
Tl 204.38 Tl.upf
Cd 112.41 Cd.upf
ATOMIC_POSITIONS angstrom
Na 5.3409 7.1631 12.3257
Na 8.5182 6.7786 14.2026
Na 4.8416 2.0068 5.6401
Na 7.3213 4.7387 19.3719
Na 1.4208 5.1517 9.4348
Na 0.2727 2.7586 7.1830
Na 3.9493 7.5304 15.7454
Na 6.0003 4.3982 7.8884
Na 3.4500 2.3740 9.0598
Na 1.4696 4.7984 2.0137
Na 2.7905 5.1390 13.4972
Na 7.3700 4.3854 11.9508
Tl 1.8319 2.3901 4.2602
Tl 6.9590 7.1471 17.1254
Tl 2.9398 4.7860 6.3738
Tl 5.8510 4.7512 15.0118
Tl 0.3545 2.4018 -0.1205
Cd 6.7092 1.9277 9.9122
Cd 1.3726 2.8059 11.7143
CELL_PARAMETERS angstrom
0.7091 4.8035 -0.2409
-0.6733 3.1425 12.4051
8.7551 1.5911 9.2213

# 5
! CaLa7Dy4 PBE optimized geometry; values from VASP
! total DFT energy (no corrections) = -4.53 eV per atom
! volume = 35.494 A^3/atom
! M_tot = 0.000 μB per formula unit
! ΔH_f (0 K) = 43 meV per atom
&SYSTEM
  ibrav = 0, nat = 12, ntyp = 3
/
ATOMIC_SPECIES
Ca 40.08 Ca.upf
La 138.91 La.upf
Dy 162.50 Dy.upf
ATOMIC_POSITIONS angstrom
Ca 0.0000 0.0000 0.0000
La 0.0594 7.4199 11.0383
La -2.9976 0.6714 2.0377
La -2.9121 -0.1359 5.6018
La -3.9067 3.4186 6.4238
La 1.0540 3.8653 10.2163
La -4.8705 5.9863 10.7398
La 2.0179 1.2976 5.9004
Dy -1.9255 5.3302 8.7384
Dy -0.9663 2.7161 4.3405
Dy -0.9272 1.9538 7.9018
Dy -1.8864 4.5678 12.2996
CELL_PARAMETERS angstrom
-5.9952 1.3428 4.0754
3.0131 -2.2468 5.1656
0.1294 8.1879 7.3991

# 6
! HPb2IO6 PBE optimized geometry; values from VASP
! total DFT energy (no corrections) = -4.97 eV per atom
! volume = 15.321 A^3/atom
! M_tot = 0.000 μB per formula unit
&SYSTEM
  ibrav = 0, nat = 10, ntyp = 4
/
ATOMIC_SPECIES
Pb 207.20 Pb.upf
I 126.90 I.upf
O 16.00 O.upf
H 1.01 H.upf
ATOMIC_POSITIONS angstrom
Pb 3.3591 -0.2684 -0.3841
Pb 0.5777 -3.8416 -0.2801
I -0.2433 -5.4750 2.4487
O 2.5778 -2.7241 -2.9086
O 1.2645 -0.6008 0.9814
O 2.8997 -2.7215 -0.1516
O 0.6962 -3.8347 2.1911
O 0.8299 -0.5087 -1.7634
O 4.2721 -0.1679 1.9655
H 1.9656 -2.0469 -2.5241
CELL_PARAMETERS angstrom
-1.4800 -4.8812 -3.4743
4.1741 1.9495 -3.9555
1.2568 -0.6883 6.0846

# 7
! Ti3PbO PBE optimized geometry; values from VASP
! total DFT energy (no corrections) = -7.45 eV per atom
! volume = 15.425 A^3/atom
! relative energy among the computed polymorphs = 19 meV/atom
! raw formation energy = -22.5 kcal/mol of atoms
! M_tot = 2.241 μB per formula unit
&SYSTEM
  ibrav = 0, nat = 5, ntyp = 3
/
ATOMIC_SPECIES
Ti 47.87 Ti.upf
O 16.00 O.upf
Pb 207.20 Pb.upf
ATOMIC_POSITIONS angstrom
Ti -0.5863 -0.5097 -1.9814
Ti 2.0403 -0.2991 -0.5268
Ti -0.1523 -2.0446 0.5711
O 0.0000 0.0000 0.0000
Pb 1.3016 -2.8535 -1.9371
CELL_PARAMETERS angstrom
-1.1727 -1.0195 -3.9628
4.0805 -0.5983 -1.0536
-0.3046 -4.0892 1.1421

# 8
! TcHgOs3 PBE optimized geometry; values from VASP
! total DFT energy (no corrections) = -6.69 eV per atom
! volume = 20.606 A^3/atom
! relative energy among the computed polymorphs = 0 meV/atom
! M_tot = 0.000 μB per formula unit
! ΔH_f (0 K) = 2184 meV per atom
&SYSTEM
  ibrav = 0, nat = 5, ntyp = 3
/
ATOMIC_SPECIES
Os 190.23 Os.upf
Tc 98.00 Tc.upf
Hg 200.59 Hg.upf
ATOMIC_POSITIONS angstrom
Os 2.3440 0.0000 0.0000
Os 0.0000 2.3440 0.0000
Os 0.0000 0.0000 2.3440
Tc 0.0000 0.0000 0.0000
Hg 2.3440 2.3440 2.3440
CELL_PARAMETERS angstrom
4.6880 0.0000 0.0000
0.0000 4.6880 0.0000
0.0000 0.0000 4.6880

# 9
! Zr2ScCd PBE optimized geometry; values from VASP
! total DFT energy (no corrections) = -6.01 eV per atom
! volume = 22.311 A^3/atom
! relative energy among the computed polymorphs = 198 meV/atom
! M_tot = 0.000 μB per formula unit
! ΔH_f (0 K) = 79 meV per atom
&SYSTEM
  ibrav = 0, nat = 4, ntyp = 3
/
ATOMIC_SPECIES
Cd 112.41 Cd.upf
Sc 44.96 Sc.upf
Zr 91.22 Zr.upf
ATOMIC_POSITIONS angstrom
Cd -3.1126 0.1740 5.2936
Sc 0.0000 0.0000 0.0000
Zr -4.6689 0.2609 7.9405
Zr -1.5563 0.0870 2.6468
CELL_PARAMETERS angstrom
-0.8791 -2.4018 4.3150
-0.7750 2.6122 4.2115
-4.5712 0.1375 2.0607

# 10
! Nd4AlAg3 PBE optimized geometry; values from VASP
! total DFT energy (no corrections) = -4.20 eV per atom
! volume = 26.492 A^3/atom
! relative energy among the computed polymorphs = 0 meV/atom
! M_tot = 0.002 μB per formula unit
! ΔH_f (0 K) = -277 meV per atom
&SYSTEM
  ibrav = 0, nat = 8, ntyp = 3
/
ATOMIC_SPECIES
Ag 107.87 Ag.upf
Nd 144.24 Nd.upf
Al 26.98 Al.upf
ATOMIC_POSITIONS angstrom
Ag -0.3581 3.6710 0.2729
Ag -0.6142 7.4560 0.6771
Ag -0.8703 11.2409 1.0813
Nd 1.0234 9.2861 2.7837
Nd -2.5722 9.3390 -1.1080
Nd 1.3438 5.5730 2.4623
Nd -2.2518 5.6259 -1.4295
Al 0.0000 0.0000 0.0000
CELL_PARAMETERS angstrom
-0.1746 4.0693 -3.3994
-4.0470 3.4262 0.1695
2.9933 7.4163 4.5842

# 11
! Y6TlPt PBE optimized geometry; values from VASP
! total DFT energy (no corrections) = -6.09 eV per atom
! volume = 33.259 A^3/atom
! M_tot = 0.001 μB per formula unit
! ΔH_f (0 K) = -191 meV per atom
&SYSTEM
  ibrav = 0, nat = 8, ntyp = 3
/
ATOMIC_SPECIES
Tl 204.38 Tl.upf
Y 88.91 Y.upf
Pt 195.08 Pt.upf
ATOMIC_POSITIONS angstrom
Tl 7.0525 4.0970 3.0716
Y 4.4345 4.1625 4.6407
Y 8.4180 6.3304 4.6399
Y 9.6705 4.0316 1.5024
Y 8.2809 1.7816 4.6337
Y 5.6870 1.8636 1.5033
Y 5.8241 6.4125 1.5095
Pt 0.0000 0.0000 0.0000
CELL_PARAMETERS angstrom
7.0657 0.0133 -0.0030
3.5288 6.1403 0.0058
3.5104 2.0404 6.1403

# 12
! PrCdBi2 PBE optimized geometry; values from VASP
! total DFT energy (no corrections) = -3.84 eV per atom
! volume = 29.629 A^3/atom
! M_tot = 0.000 μB per formula unit
! ΔH_f (0 K) = -472 meV per atom
&SYSTEM
  ibrav = 0, nat = 8, ntyp = 3
/
ATOMIC_SPECIES
Pr 140.91 Pr.upf
Bi 208.98 Bi.upf
Cd 112.41 Cd.upf
ATOMIC_POSITIONS angstrom
Pr 2.5153 4.7355 6.4884
Pr 2.4756 -0.1284 2.8206
Bi -0.5349 1.3174 2.9328
Bi 2.0853 1.3511 5.9219
Bi 5.5258 3.2896 6.3762
Bi 2.9056 3.2560 3.3870
Cd -0.8203 -1.9049 2.5349
Cd 0.0000 0.0000 0.0000
CELL_PARAMETERS angstrom
-3.4824 -0.0686 3.0533
1.8417 -3.7412 2.0165
5.8113 6.5119 6.7741

# 13
! ZrSbTe2N PBE optimized geometry; values from VASP
! total DFT energy (no corrections) = -4.49 eV per atom
! volume = 35.264 A^3/atom
! relative energy among the computed polymorphs = 923 meV/atom
! raw formation energy = 22.2 kcal/mol of atoms
! M_tot = 2.477 μB per formula unit
&SYSTEM
  ibrav = 0, nat = 5, ntyp = 4
/
ATOMIC_SPECIES
Zr 91.22 Zr.upf
Te 127.60 Te.upf
Sb 121.76 Sb.upf
N 14.01 N.upf
ATOMIC_POSITIONS angstrom
Zr 0.0000 0.0000 0.0000
Te 2.7980 0.0000 0.0000
Te 0.0000 2.7980 0.0000
Sb 0.0000 0.0000 2.8154
N 2.7980 2.7980 2.8154
CELL_PARAMETERS angstrom
5.5959 0.0000 0.0000
0.0000 5.5959 0.0000
0.0000 0.0000 5.6307

# 14
! NaHgSbBr6 PBE optimized geometry; values from VASP
! total DFT energy (no corrections) = -2.48 eV per atom
! volume = 33.867 A^3/atom
! raw formation energy = -16.9 kcal/mol of atoms
! M_tot = 0.000 μB per formula unit
&SYSTEM
  ibrav = 0, nat = 18, ntyp = 4
/
ATOMIC_SPECIES
Br 79.90 Br.upf
Hg 200.59 Hg.upf
Sb 121.76 Sb.upf
Na 22.99 Na.upf
ATOMIC_POSITIONS angstrom
Br 4.6813 0.0150 11.6820
Br -1.0586 6.2597 1.7267
Br -1.2691 2.2282 1.7267
Br -2.3276 4.0616 4.9777
Br 2.5642 0.0150 8.4311
Br 1.0586 6.2597 4.9777
Br 1.2691 2.2282 4.9777
Br 4.8918 4.0466 11.6820
Br 5.9504 2.2131 8.4311
Br 2.3537 4.0466 8.4311
Br 2.3276 4.0616 1.7267
Br 1.2951 2.2131 11.6820
Hg 0.0000 4.1832 10.0565
Hg 3.6227 2.0916 3.3522
Sb 3.6227 2.0916 10.0565
Sb 0.0000 4.1832 3.3522
Na 0.0000 0.0000 0.0000
Na 0.0000 0.0000 6.7044
CELL_PARAMETERS angstrom
7.2455 0.0000 0.0000
-3.6227 6.2748 0.0000
0.0000 0.0000 13.4087

# 15
! CrTeRu PBE optimized geometry; values from VASP
! total DFT energy (no corrections) = -6.98 eV per atom
! volume = 17.571 A^3/atom
! relative energy among the computed polymorphs = 252 meV/atom
! raw formation energy = 8.4 kcal/mol of atoms
! M_tot = 3.092 μB per formula unit
&SYSTEM
  ibrav = 0, nat = 3, ntyp = 3
/
ATOMIC_SPECIES
Ru 101.07 Ru.upf
Cr 52.00 Cr.upf
Te 127.60 Te.upf
ATOMIC_POSITIONS angstrom
Ru -2.9540 0.3862 0.2149
Cr -1.3040 2.8622 -0.0515
Te -1.6288 1.0292 2.2836
CELL_PARAMETERS angstrom
-3.6281 -1.6858 -1.8280
0.3496 0.2381 4.3781
-1.3042 2.8626 -0.0515

# 16
! Gd3Sc PBE optimized geometry; values from VASP
! total DFT energy (no corrections) = -12.11 eV per atom
! volume = 30.785 A^3/atom
! relative energy among the computed polymorphs = 0 meV/atom
! M_tot = 23.114 μB per formula unit
! ΔH_f (0 K) = 32 meV per atom
&SYSTEM
  ibrav = 0, nat = 4, ntyp = 2
/
ATOMIC_SPECIES
Gd 157.25 Gd.upf
Sc 44.96 Sc.upf
ATOMIC_POSITIONS angstrom
Gd -1.9187 2.2247 -1.7676
Gd -3.5356 -0.1665 0.2916
Gd -1.7657 -2.6460 -1.4918
Sc -3.2822 -5.1343 0.5651
CELL_PARAMETERS angstrom
-0.2824 -0.2095 -3.5430
-3.2859 -5.1400 0.5658
-2.9594 5.7289 1.6861

# 17
! ZrZn2Cd PBE optimized geometry; values from VASP
! total DFT energy (no corrections) = -3.13 eV per atom
! volume = 18.298 A^3/atom
! M_tot = 0.000 μB per formula unit
! ΔH_f (0 K) = -124 meV per atom
&SYSTEM
  ibrav = 0, nat = 4, ntyp = 3
/
ATOMIC_SPECIES
Zr 91.22 Zr.upf
Zn 65.41 Zn.upf
Cd 112.41 Cd.upf
ATOMIC_POSITIONS angstrom
Zr -2.3098 2.6454 -1.0362
Zn -2.5646 -0.2492 -1.0586
Zn -0.1341 0.1535 -0.0601
Cd -5.2321 2.8058 -2.2553
CELL_PARAMETERS angstrom
-0.6333 -1.5624 -2.5770
-2.3039 -1.4464 1.4431
-4.8689 5.5762 -2.1843

# 18
! YHfAg2C PBE optimized geometry; values from VASP
! total DFT energy (no corrections) = -5.57 eV per atom
! volume = 23.130 A^3/atom
! M_tot = 0.000 μB per formula unit
! ΔH_f (0 K) = 696 meV per atom
&SYSTEM
  ibrav = 0, nat = 5, ntyp = 4
/
ATOMIC_SPECIES
Y 88.91 Y.upf
Hf 178.49 Hf.upf
C 12.01 C.upf
Ag 107.87 Ag.upf
ATOMIC_POSITIONS angstrom
Y 2.6278 2.0935 2.6278
Hf 0.0000 0.0000 0.0000
C 0.0000 2.0935 0.0000
Ag 2.6278 0.0000 0.0000
Ag 0.0000 0.0000 2.6278
CELL_PARAMETERS angstrom
5.2555 0.0000 0.0000
0.0000 4.1871 0.0000
0.0000 0.0000 5.2555

# 19
! Pm6Sb2PbSe3 PBE optimized geometry; values from VASP
! total DFT energy (no corrections) = -5.65 eV per atom
! volume = 29.402 A^3/atom
! raw formation energy = -32.4 kcal/mol of atoms
! M_tot = 0.000 μB per formula unit
&SYSTEM
  ibrav = 0, nat = 12, ntyp = 4
/
ATOMIC_SPECIES
Pb 207.20 Pb.upf
Se 78.96 Se.upf
Sb 121.76 Sb.upf
Pm 145.00 Pm.upf
ATOMIC_POSITIONS angstrom
Pb 2.1875 0.0000 0.0000
Se 0.0000 6.4153 3.3493
Se 2.1875 -0.1936 6.1600
Se 2.1875 4.3518 0.1701
Sb 0.0000 2.0716 3.1702
Sb 2.1875 4.1501 6.3391
Pm 2.1875 -0.2370 9.2110
Pm 0.0000 6.4586 0.2983
Pm 2.1875 4.2993 3.2238
Pm 0.0000 6.3862 6.3850
Pm 0.0000 1.9223 6.2855
Pm 2.1875 -0.1646 3.1243
CELL_PARAMETERS angstrom
4.3750 0.0000 0.0000
0.0000 8.7036 0.3403
-2.1875 -2.4819 9.1690

# 20
! Tb15Sm4Mg PBE optimized geometry; values from VASP
! total DFT energy (no corrections) = -4.48 eV per atom
! volume = 31.905 A^3/atom
! M_tot = 0.002 μB per formula unit
! ΔH_f (0 K) = 18 meV per atom
&SYSTEM
  ibrav = 0, nat = 20, ntyp = 3
/
ATOMIC_SPECIES
Tb 158.93 Tb.upf
Sm 150.36 Sm.upf
Mg 24.30 Mg.upf
ATOMIC_POSITIONS angstrom
Tb -5.7948 -8.5133 7.6889
Tb 0.4214 -2.8791 -2.0471
Tb -7.5513 -11.4498 11.4574
Tb -4.2389 -11.8443 12.6940
Tb -3.0464 -8.6764 5.3926
Tb -0.7258 -5.9712 5.1571
Tb -2.2907 -2.6553 0.1714
Tb -1.2809 -5.7248 1.6049
Tb -5.9864 -14.7657 16.4431
Tb -2.4823 -8.9077 8.9256
Tb -9.2988 -14.3713 15.2065
Tb -4.8093 -11.6237 9.1748
Tb -6.5749 -14.5752 12.9626
Tb 1.0217 -3.0497 1.4080
Tb -4.0382 -5.5767 3.9205
Sm -5.2268 -8.7380 11.2134
Sm -1.7155 -2.8679 3.6803
Sm -3.4717 -5.8039 7.4481
Sm -6.9830 -11.6740 14.9812
Mg 0.0000 0.0000 0.0000
CELL_PARAMETERS angstrom
-2.8910 -2.4846 -3.2837
3.7338 -3.2735 -0.8104
-8.6985 -14.5419 18.6616